Record 1
{"formula": "DyErRe4", "functional": "PBE", "state": "relaxed", "energy_ev_per_atom": -10.025, "cell": [[0.0000, 3.8244, 3.8244], [3.8244, 0.0000, 3.8244], [3.8244, 3.8244, 0.0000]], "species": ["Dy", "Er", "Re", "Re", "Re", "Re"], "frac_coords": [[0.0000, 0.0000, 0.0000], [0.7500, 0.7500, 0.7500], [0.3750, 0.3750, 0.3750], [0.3750, 0.3750, 0.8749], [0.3750, 0.8749, 0.3750], [0.8749, 0.3750, 0.3750]]}

***

Record 2
{"formula": "Al2TcPt", "functional": "PBE", "state": "relaxed", "energy_ev_per_atom": -5.766, "cell": [[2.7014, 0.0000, 0.0000], [0.0000, 4.8208, 0.0000], [0.0000, 0.0000, 10.2488]], "species": ["Al", "Al", "Al", "Al", "Tc", "Tc", "Pt", "Pt"], "frac_coords": [[0.0000, 0.0000, 0.2421], [0.0000, 0.0000, 0.7579], [0.5000, 0.5000, 0.2579], [0.5000, 0.5000, 0.7421], [0.0000, 0.0000, 0.5000], [0.5000, 0.5000, 0.0000], [0.0000, 0.0000, 0.0000], [0.5000, 0.5000, 0.5000]]}

***

Record 3
{"formula": "ZnSbSeN2", "functional": "PBE", "state": "relaxed", "energy_ev_per_atom": -3.880, "polymorph_energy_mev_per_atom": 135, "cell": [[3.8937, 0.0000, 0.0000], [0.0000, 3.8937, 0.0000], [0.0000, 0.0000, 9.3253]], "species": ["Zn", "Sb", "Se", "N", "N"], "frac_coords": [[0.0000, 0.0000, 0.0000], [0.0000, 0.0000, 0.5000], [0.5000, 0.5000, 0.0000], [0.0000, 0.5000, 0.5000], [0.5000, 0.0000, 0.5000]]}

***

Record 4
{"formula": "LaMgSN2", "functional": "PBE", "state": "relaxed", "energy_ev_per_atom": -5.573, "polymorph_energy_mev_per_atom": 0, "cell": [[4.1668, 0.0000, 0.0000], [0.0000, 4.1668, 0.0000], [0.0000, 0.0000, 4.7513]], "species": ["La", "Mg", "S", "N", "N"], "frac_coords": [[0.0000, 0.0000, 0.0000], [0.5000, 0.5000, 0.5000], [0.5000, 0.5000, 0.0000], [0.0000, 0.5000, 0.5000], [0.5000, 0.0000, 0.5000]]}

***

Record 5
{"formula": "KCSN", "functional": "PBE", "state": "relaxed", "energy_ev_per_atom": -6.109, "polymorph_energy_mev_per_atom": 19, "cell": [[7.8083, 0.0000, 0.0000], [0.0000, 7.8480, 0.0000], [0.0000, 0.0000, 6.6208]], "species": ["K", "K", "K", "K", "C", "C", "C", "C", "S", "S", "S", "S", "N", "N", "N", "N"], "frac_coords": [[0.2107, 0.0010, 0.2500], [0.2107, 0.4990, 0.7500], [0.7893, 0.5010, 0.2500], [0.7893, 0.9990, 0.7500], [0.2311, 0.5391, 0.2500], [0.2311, 0.9609, 0.7500], [0.7689, 0.0391, 0.2500], [0.7689, 0.4609, 0.7500], [0.3759, 0.1107, 0.7500], [0.3759, 0.3893, 0.2500], [0.6241, 0.6107, 0.7500], [0.6241, 0.8893, 0.2500], [0.1234, 0.6469, 0.2500], [0.1234, 0.8531, 0.7500], [0.8766, 0.1469, 0.2500], [0.8766, 0.3531, 0.7500]]}

***

Record 6
{"formula": "LiNdBi", "functional": "PBE", "state": "relaxed", "energy_ev_per_atom": -4.190, "polymorph_energy_mev_per_atom": 42, "cell": [[4.6133, 0.0000, 0.0000], [-2.3067, 3.9953, 0.0000], [0.0000, 0.0000, 4.3096]], "species": ["Li", "Nd", "Bi"], "frac_coords": [[0.0000, 0.0000, 0.0000], [0.6667, 0.3333, 0.5000], [0.3333, 0.6667, 0.0000]]}

***

Record 7
{"formula": "CrMo2Os", "functional": "PBE", "state": "relaxed", "energy_ev_per_atom": -10.485, "polymorph_energy_mev_per_atom": 27, "cell": [[3.0905, 0.0000, 0.0000], [0.0000, 4.3552, 0.0000], [0.0000, 0.0000, 4.3694]], "species": ["Cr", "Mo", "Mo", "Os"], "frac_coords": [[0.0000, 0.0000, 0.0000], [0.0000, 0.5000, 0.5000], [0.5000, 0.5000, 0.0000], [0.5000, 0.0000, 0.5000]]}

***

Record 8
{"formula": "Tb4Pm4Nd", "functional": "PBE", "state": "relaxed", "energy_ev_per_atom": -4.685, "cell": [[-5.4217, 5.4217, 2.5523], [5.4217, -5.4217, 2.5523], [5.4217, 5.4217, -2.5523]], "species": ["Tb", "Tb", "Tb", "Tb", "Pm", "Pm", "Pm", "Pm", "Nd"], "frac_coords": [[0.1668, 0.1668, 0.3336], [0.1668, 0.8332, 0.0000], [0.8332, 0.1668, 0.0000], [0.8332, 0.8332, 0.6664], [0.1677, 0.5000, 0.6677], [0.5000, 0.1677, 0.6677], [0.5000, 0.8323, 0.3323], [0.8323, 0.5000, 0.3323], [0.5000, 0.5000, 0.0000]]}